1.
The following is a DFT calculation (PBE) of a relaxed PuGa2I8 crystal.

The space group is C2/c (No. 15) and the conventional cell measures 20.836, 10.517 and 13.540 Å, with angles of 90.00, 128.61 and 90.00 degrees. The asymmetric unit holds Pu at (0.000, 0.002, 0.250), Ga at (0.094, 0.249, 0.050), I at (0.060, 0.205, 0.650), I at (0.112, 0.219, 0.263), I at (0.148, 0.465, 0.049) and I at (0.167, 0.058, 0.025).

The formation energy without anion corrections is -0.645 eV/atom. As for the energy above the most stable polymorph in this dataset: 0.000 eV per atom. Its energy is -3.63 eV/atom.

***

2.
The following is a DFT calculation (PBE) of a relaxed Cu2PtSe crystal.

The space group is Cmmm (No. 65) and the conventional cell measures 4.029, 4.044 and 7.446 Å, with angles of 90.00, 90.00 and 90.00 degrees. The asymmetric unit holds Cu at (0.000, 0.000, 0.235), Pt at (0.000, 0.500, 0.000) and Se at (0.000, 0.500, 0.500).

The formation energy without anion corrections is 0.112 eV/atom. Its energy is -4.32 eV/atom.

***

3.
The following is a DFT calculation (PBE) of a relaxed SrDyIO6 crystal.

The space group is P-31c (No. 163) and the conventional cell measures 5.6552, 5.6552 and 10.2689 Å, with angles of 90.00, 90.00 and 120.00 degrees. The asymmetric unit holds Sr at (0.0000, 0.0000, 0.0000), Dy at (0.3333, 0.6667, 0.2500), I at (0.3333, 0.6667, 0.7500) and O at (0.0486, 0.3959, 0.6445).

The formation energy without anion corrections is -1.918 eV/atom. Its energy is -6.09 eV/atom.

***

4.
The following is a DFT calculation (PBE) of a relaxed Li2MgTl crystal.

The space group is P4/mmm (No. 123) and the conventional cell measures 4.765, 4.765 and 3.488 Å, with angles of 90.00, 90.00 and 90.00 degrees. The asymmetric unit holds Li at (0.000, 0.500, 0.000), Mg at (0.000, 0.000, 0.500) and Tl at (0.500, 0.500, 0.500).

The formation energy from the elements comes out at -0.176 eV per atom. Its energy is -2.12 eV/atom.

***

5.
The following is a DFT calculation (PBE) of a relaxed ThInGeRh3 crystal.

The space group is Cmcm (No. 63) and the conventional cell measures 6.881, 12.100 and 5.856 Å, with angles of 90.00, 90.00 and 90.00 degrees. The asymmetric unit holds Th at (0.000, 0.181, 0.250), In at (0.000, 0.441, 0.250), Ge at (0.000, 0.128, 0.750), Rh at (0.000, 0.327, 0.750) and Rh at (0.198, 0.000, 0.000).

The formation energy from the elements comes out at -0.438 eV per atom. Its energy is -6.58 eV/atom.

***

6.
The following is a DFT calculation (PBE) of a relaxed ReC crystal.

The space group is R-3m (No. 166, hexagonal axes) and the conventional cell measures 3.4291, 3.4291 and 14.7280 Å, with angles of 90.00, 90.00 and 120.00 degrees. The asymmetric unit holds Re at (0.0000, 0.0000, 0.0983) and C at (0.0000, 0.0000, 0.2512).

The formation energy from the elements comes out at 0.570 eV per atom. As for the energy above the most stable polymorph in this dataset: 0.330 eV per atom. Its energy is -10.27 eV/atom.